First-principles (PBE) data for a relaxed Rb3Zn2Ge4 crystal, as listed in Alexandria via LeMat-Bulk.

a = 4.240 Å, b = 7.120 Å, c = 11.029 Å
α = 63.28°, β = 78.93°, γ = 72.66°
Fractional coordinates of all 9 atoms:
Rb: 0.610 0.178 0.603
Rb: 0.000 0.000 0.000
Rb: 0.390 0.822 0.397
Zn: 0.668 0.491 0.173
Zn: 0.332 0.509 0.827
Ge: 0.283 0.337 0.098
Ge: 0.871 0.563 0.694
Ge: 0.129 0.437 0.306
Ge: 0.717 0.663 0.902

Calculated values
space-group type = C2/m
E = -24.35 eV for the cell shown
Fermi-level density of states = 3.972 states/eV/f.u.

---

First-principles (PBE) data for a relaxed RbZnGe2 crystal, as listed in Alexandria via LeMat-Bulk.

a = 3.561 Å, b = 3.561 Å, c = 7.710 Å
α = 90.00°, β = 90.00°, γ = 90.00°
Fractional coordinates of all 4 atoms:
Ge: 0.000 0.000 0.834
Ge: 0.000 0.000 0.166
Zn: 0.500 0.500 0.000
Rb: 0.500 0.500 0.500

Calculated values
space-group type = P4/mmm
E = -11.14 eV for the cell shown
Fermi-level density of states = 2.031 states/eV/f.u.

---

First-principles (PBE) data for a relaxed RbZn4Ge3 crystal, as listed in Alexandria via LeMat-Bulk.

a = 4.539 Å, b = 4.539 Å, c = 8.088 Å
α = 90.00°, β = 90.00°, γ = 90.00°
Fractional coordinates of all 8 atoms:
Zn: 0.500 0.000 0.176
Zn: 0.000 0.500 0.176
Zn: 0.500 0.000 0.824
Zn: 0.000 0.500 0.824
Ge: 0.000 0.000 0.000
Ge: 0.500 0.500 0.340
Ge: 0.500 0.500 0.660
Rb: 0.000 0.000 0.500

Calculated values
space-group type = P4/mmm
E = -20.00 eV for the cell shown
Fermi-level density of states = 1.569 states/eV/f.u.

---

First-principles (PBE) data for a relaxed RbZnGe crystal, as listed in Alexandria via LeMat-Bulk.

a = 5.755 Å, b = 4.332 Å, c = 4.332 Å
α = 120.00°, β = 90.00°, γ = 90.00°
Fractional coordinates of all 3 atoms:
Ge: 0.167 0.000 0.000
Zn: 0.167 0.333 0.667
Rb: 0.667 0.667 0.333

Calculated values
space-group type = P-6m2
E = -6.87 eV for the cell shown
Fermi-level density of states = 2.077 states/eV/f.u.

---

Repeat the third record exactly.
First-principles (PBE) data for a relaxed RbZn4Ge3 crystal, as listed in Alexandria via LeMat-Bulk.

a = 4.539 Å, b = 4.539 Å, c = 8.088 Å
α = 90.00°, β = 90.00°, γ = 90.00°
Fractional coordinates of all 8 atoms:
Zn: 0.500 0.000 0.176
Zn: 0.000 0.500 0.176
Zn: 0.500 0.000 0.824
Zn: 0.000 0.500 0.824
Ge: 0.000 0.000 0.000
Ge: 0.500 0.500 0.340
Ge: 0.500 0.500 0.660
Rb: 0.000 0.000 0.500

Calculated values
space-group type = P4/mmm
E = -20.00 eV for the cell shown
Fermi-level density of states = 1.569 states/eV/f.u.

---

Question: Which value of E does entry 3 give?
Answer: -20.00 eV for the cell shown